Entry 1:
First-principles (GGA-PBEsol) data for a geometry-optimized CrRu2 structure, as listed in Alexandria via LeMat-Bulk.

Calculated values
- N(E_F): 1.087 states/eV per atom
- DFT total energy: -60.705 eV/cell
- Total moment: 0.00 Bohr magnetons per cell
- Energy of formation: 78 meV per atom

Cell: 2.662 4.211 6.922 Å, 90.00 101.09 90.00°
Fractional positions:
Cr 0.223 0.250 0.446
Cr 0.777 0.750 0.554
Ru 0.883 0.250 0.766
Ru 0.559 0.250 0.118
Ru 0.441 0.750 0.882
Ru 0.117 0.750 0.234

Entry 2:
First-principles (GGA-PBEsol) data for a geometry-optimized RbBa2NbCu structure, as listed in Alexandria via LeMat-Bulk.

Calculated values
- N(E_F): 1.163 states/eV per atom
- DFT total energy: -16.620 eV/cell
- Total moment: 2.91 Bohr magnetons per cell
- Energy of formation: 772 meV per atom

Cell: 5.069 6.295 6.295 Å, 90.00 90.00 90.00°
Fractional positions:
Nb 0.500 0.000 0.000
Cu 0.000 0.000 0.000
Ba 0.000 0.000 0.500
Ba 0.000 0.500 0.000
Rb 0.500 0.500 0.500